[1]
A relaxed structure of ErCdCuTe3, computed with GGA-PBE.

As for the spin magnetization: 0.001 μB per formula unit. The calculation puts the energy above the most stable polymorph in this dataset at 0.0 meV/atom.

The structure belongs to space group P2_1/m (No. 11); the cell edges are 8.297, 4.155 and 9.912 Å and the angles 90.00°, 102.29° and 90.00°. Symmetry generates all atoms from Er at (0.183, 0.250, 0.174), Cd at (0.290, 0.750, 0.716), Cu at (0.425, 0.750, 0.422), Te at (0.094, 0.250, 0.852), Te at (0.243, 0.250, 0.483) and Te at (0.439, 0.750, 0.155).

---

[2]
A relaxed structure of ErCdCuTe3, computed with GGA-PBE.

As for the spin magnetization: 0.001 μB per formula unit. The calculation puts the energy above the most stable polymorph in this dataset at 8.5 meV/atom.

The structure belongs to space group Cmcm (No. 63); the cell edges are 4.122, 14.107 and 11.188 Å and the angles 90.00°, 90.00° and 90.00°. Symmetry generates all atoms from Er at (0.000, 0.000, 0.000), Cd at (0.000, 0.229, 0.250), Cu at (0.000, 0.474, 0.750), Te at (0.000, 0.097, 0.750) and Te at (0.000, 0.353, 0.570).

---

[3]
A relaxed structure of ErZrCd2Cu4, computed with GGA-PBE.

As for the calculated formation energy: -0.188 eV per atom. As for the spin magnetization: 0.014 μB per formula unit.

The structure belongs to space group P4/mmm (No. 123); the cell edges are 4.598, 4.598 and 6.444 Å and the angles 90.00°, 90.00° and 90.00°. Symmetry generates all atoms from Er at (0.000, 0.000, 0.000), Zr at (0.500, 0.500, 0.500), Cd at (0.000, 0.000, 0.500), Cd at (0.500, 0.500, 0.000) and Cu at (0.000, 0.500, 0.263).

---

Copy entry 1 word for word.
A relaxed structure of ErCdCuTe3, computed with GGA-PBE.

As for the spin magnetization: 0.001 μB per formula unit. The calculation puts the energy above the most stable polymorph in this dataset at 0.0 meV/atom.

The structure belongs to space group P2_1/m (No. 11); the cell edges are 8.297, 4.155 and 9.912 Å and the angles 90.00°, 102.29° and 90.00°. Symmetry generates all atoms from Er at (0.183, 0.250, 0.174), Cd at (0.290, 0.750, 0.716), Cu at (0.425, 0.750, 0.422), Te at (0.094, 0.250, 0.852), Te at (0.243, 0.250, 0.483) and Te at (0.439, 0.750, 0.155).